Below is a relaxed EuIn2Ni crystal, with properties calculated at the PBE-GGA level.

POSCAR file:
```
EuIn2Ni
1.0
-2.193 4.907 -2.079
-2.211 -4.951 1.952
-0.237 2.929 7.164
In Eu Ni
4 2 2
direct
0.347 0.653 0.447
0.653 0.347 0.947
0.653 0.347 0.553
0.347 0.653 0.053
0.942 0.058 0.750
0.058 0.942 0.250
0.220 0.780 0.750
0.780 0.220 0.250
```

Properties
DFT formation energy = -378 meV/atom
space group = Cmcm
E above lowest polymorph = 0.0000 eV/atom

***

Below is a relaxed Al2PS crystal, with properties calculated at the PBE-GGA level.

POSCAR file:
```
Al2PS
1.0
0.000 3.134 3.134
3.134 0.000 3.134
3.134 3.134 0.000
Al S P
2 1 1
direct
0.250 0.250 0.250
0.750 0.750 0.750
0.500 0.500 0.500
0.000 0.000 0.000
```

Properties
uncorrected formation energy = 0.009 eV/atom
space group = Fm-3m
E above lowest polymorph = 0.4537 eV/atom

***

Below is a relaxed MgTaCl2 crystal, with properties calculated at the PBE-GGA level.

POSCAR file:
```
MgTaCl2
1.0
3.063 0.000 0.000
0.000 3.062 0.000
0.000 0.000 9.652
Ta Cl Mg
1 2 1
direct
0.500 0.500 0.750
0.000 0.000 0.909
0.000 0.000 0.591
0.500 0.500 0.250
```

Properties
uncorrected formation energy = -0.090 eV/atom
space group = P4/mmm
E above lowest polymorph = 0.4742 eV/atom